First-principles (PBE-GGA) data for an optimized crystal structure of Ta3Tc, as listed in Alexandria.

For the density, the calculation gives 15.05 g/cm³. Its crystal system is trigonal. Its relative energy among the computed polymorphs is 355 meV/atom. The formation energy from the elements is 0.0770 eV per atom.

Unit cell a=3.0308 b=3.0308 c=26.6675 alpha=90.00 beta=90.00 gamma=120.00
Closest atoms and distances in Å follow each position.
Element x y z (fractional)
Ta  0.0000  0.0000  0.0000  12 Ta 2.93-3.03
Ta  0.0000  0.0000  0.2452  3 Tc 2.73, 9 Ta 2.93-3.03
Ta  0.0000  0.0000  0.7548  3 Tc 2.73, 9 Ta 2.93-3.03
Ta  0.3333  0.6667  0.4215  3 Tc 2.73, 9 Ta 2.93-3.03
Ta  0.3333  0.6667  0.6667  12 Ta 2.93-3.03
Ta  0.3333  0.6667  0.9118  3 Tc 2.73, 9 Ta 2.93-3.03
Ta  0.6667  0.3333  0.0882  3 Tc 2.73, 9 Ta 2.93-3.03
Ta  0.6667  0.3333  0.3333  12 Ta 2.93-3.03
Ta  0.6667  0.3333  0.5785  3 Tc 2.73, 9 Ta 2.93-3.03
Tc  0.0000  0.0000  0.5000  6 Ta 2.73, 6 Tc 3.03
Tc  0.3333  0.6667  0.1667  6 Ta 2.73, 6 Tc 3.03
Tc  0.6667  0.3333  0.8333  6 Ta 2.73, 6 Tc 3.03

---

First-principles (PBE-GGA) data for an optimized crystal structure of Pm12Pr7Tm, as listed in Alexandria.

For the density, the calculation gives 6.13 g/cm³. Its crystal system is cubic. Its relative energy among the computed polymorphs is 380 meV/atom. The formation energy from the elements is 0.5963 eV per atom.

Unit cell a=10.0623 b=10.0623 c=10.0623 alpha=109.47 beta=109.47 gamma=109.47
Closest atoms and distances in Å follow each position.
Element x y z (fractional)
Pm  0.0010  0.2459  0.7551  2 Pr 2.91
Pm  0.2449  0.4909  0.2459  2 Pr 2.91
Pm  0.2449  0.9990  0.7541  2 Pr 2.91
Pm  0.2459  0.2449  0.4909  2 Pr 2.91
Pm  0.2459  0.7551  0.0010  2 Pr 2.91
Pm  0.4909  0.2459  0.2449  2 Pr 2.91
Pm  0.5091  0.7541  0.7551  2 Pr 2.91
Pm  0.7541  0.2449  0.9990  2 Pr 2.91
Pm  0.7541  0.7551  0.5091  2 Pr 2.91
Pm  0.7551  0.0010  0.2459  2 Pr 2.91
Pm  0.7551  0.5091  0.7541  2 Pr 2.91
Pm  0.9990  0.7541  0.2449  2 Pr 2.91
Pr  0.0000  0.0000  0.5000  6 Pm 2.91
Pr  0.0000  0.5000  0.0000  6 Pm 2.91
Pr  0.0000  0.5000  0.5000  12 Pm 4.10-4.18
Pr  0.5000  0.0000  0.0000  6 Pm 2.91
Pr  0.5000  0.0000  0.5000  12 Pm 4.10-4.18
Pr  0.5000  0.5000  0.0000  12 Pm 4.10-4.18
Pr  0.5000  0.5000  0.5000  6 Pm 2.91
Tm  0.0000  0.0000  0.0000  12 Pm 4.03

---

First-principles (PBE-GGA) data for an optimized crystal structure of CaZnTc, as listed in Alexandria.

For the density, the calculation gives 6.08 g/cm³. Its crystal system is hexagonal. Its relative energy among the computed polymorphs is 95 meV/atom. The formation energy from the elements is 0.3914 eV per atom.

Unit cell a=4.8044 b=4.8044 c=2.7793 alpha=90.00 beta=90.00 gamma=120.00
Closest atoms and distances in Å follow each position.
Element x y z (fractional)
Ca  0.0000  0.0000  0.0000  2 Ca 2.78, 6 Tc 3.10, 6 Zn 3.10
Zn  0.3333  0.6667  0.5000  3 Tc 2.77, 2 Zn 2.78, 6 Ca 3.10
Tc  0.6667  0.3333  0.5000  3 Zn 2.77, 2 Tc 2.78, 6 Ca 3.10

---

First-principles (PBE-GGA) data for an optimized crystal structure of LaCdTcPd2, as listed in Alexandria.

For the density, the calculation gives 7.38 g/cm³. Its crystal system is tetragonal. The formation energy from the elements is 0.4881 eV per atom.

Unit cell a=4.9975 b=4.9975 c=5.0645 alpha=90.00 beta=90.00 gamma=90.00
Closest atoms and distances in Å follow each position.
Element x y z (fractional)
La  0.0000  0.0000  0.0000  2 Tc 2.53
Cd  0.5000  0.5000  0.0000  4 La 3.53, 8 Pd 3.56
Tc  0.0000  0.0000  0.5000  4 Pd 2.50, 2 La 2.53
Pd  0.0000  0.5000  0.5000  2 Tc 2.50
Pd  0.5000  0.0000  0.5000  2 Tc 2.50